# 1
This record from Alexandria via LeMat-Bulk describes CrCoWO2 after structural relaxation. The functional is GGA+U.

Calculated values
Crystal system   tetragonal
Uncorrected energy   -0.2298 hartree per atom
Energy relative to the lowest polymorph listed for this composition   0.000 eV/atom

abc: 3.862 5.534 3.862
angles: 90.00 90.00 90.00
Site moments in Bohr magnetons follow the coordinates.
Fractional coordinates of all 5 atoms:
Cr (0.500, 0.500, 0.500)  4.35
Co (0.000, 0.500, 0.000)  -1.81
O (0.000, 0.000, 0.500)  -0.03
O (0.500, 0.000, 0.000)  -0.10
W (0.000, 0.000, 0.000)  1.07


# 2
This record from Alexandria via LeMat-Bulk describes CrCoWO6 after structural relaxation. The functional is GGA+U.

Calculated values
Crystal system   tetragonal
Uncorrected energy   -0.2631 hartree per atom

abc: 4.591 4.591 8.939
angles: 90.00 90.00 90.00
Site moments in Bohr magnetons follow the coordinates.
Fractional coordinates of all 18 atoms:
Cr (0.500, 0.500, 0.498)  2.93
Cr (0.000, 0.000, 0.998)  2.93
Co (0.500, 0.500, 0.167)  0.06
Co (0.000, 0.000, 0.667)  0.06
W (0.500, 0.500, 0.831)  0.06
W (0.000, 0.000, 0.331)  0.06
O (0.191, 0.809, 0.499)  -0.02
O (0.809, 0.191, 0.499)  -0.02
O (0.309, 0.309, 0.999)  -0.02
O (0.691, 0.691, 0.999)  -0.02
O (0.203, 0.797, 0.174)  -0.02
O (0.797, 0.203, 0.174)  -0.02
O (0.297, 0.297, 0.674)  -0.02
O (0.703, 0.703, 0.674)  -0.02
O (0.804, 0.196, 0.829)  -0.02
O (0.196, 0.804, 0.829)  -0.02
O (0.696, 0.696, 0.329)  -0.02
O (0.304, 0.304, 0.329)  -0.02


# 3
This record from Alexandria via LeMat-Bulk describes YCr4Co3O12 after structural relaxation. The functional is GGA+U.

Calculated values
Crystal system   cubic
Uncorrected energy   -0.2682 hartree per atom

abc: 6.423 6.423 6.423
angles: 109.47 109.47 109.47
Site moments in Bohr magnetons follow the coordinates.
Fractional coordinates of all 20 atoms:
Y (0.000, 0.000, 0.000)  0.03
Cr (0.500, 0.000, 0.000)  2.89
Cr (0.500, 0.500, 0.500)  2.89
Cr (0.000, 0.500, 0.000)  2.89
Cr (0.000, 0.000, 0.500)  2.89
Co (0.000, 0.500, 0.500)  2.13
Co (0.500, 0.500, 0.000)  2.13
Co (0.500, 0.000, 0.500)  2.13
O (0.307, 0.830, 0.138)  -0.04
O (0.693, 0.170, 0.862)  -0.04
O (0.693, 0.830, 0.523)  -0.04
O (0.862, 0.693, 0.170)  -0.04
O (0.830, 0.138, 0.307)  -0.04
O (0.170, 0.477, 0.307)  -0.04
O (0.477, 0.307, 0.170)  -0.04
O (0.170, 0.862, 0.693)  -0.04
O (0.307, 0.170, 0.477)  -0.04
O (0.138, 0.307, 0.830)  -0.04
O (0.830, 0.523, 0.693)  -0.04
O (0.523, 0.693, 0.830)  -0.04


# 4
This record from Alexandria via LeMat-Bulk describes ZnCr2CoO6 after structural relaxation. The functional is GGA+U.

Calculated values
Crystal system   trigonal
Uncorrected energy   -0.2412 hartree per atom

abc: 5.051 5.050 5.393
angles: 62.09 62.09 59.99
Site moments in Bohr magnetons follow the coordinates.
Fractional coordinates of all 10 atoms:
Zn (0.798, 0.798, 0.606)  0.01
Cr (0.521, 0.521, 0.438)  2.97
Cr (0.010, 0.010, 0.970)  2.97
Co (0.323, 0.323, 0.032)  -0.79
O (0.594, 0.236, 0.234)  -0.07
O (0.236, 0.936, 0.233)  -0.07
O (0.936, 0.594, 0.234)  -0.07
O (0.400, 0.711, 0.756)  -0.03
O (0.711, 0.132, 0.756)  -0.03
O (0.132, 0.400, 0.756)  -0.03


# 5
This record from Alexandria via LeMat-Bulk describes ZnCrCo2O after structural relaxation. The functional is GGA+U.

Calculated values
Crystal system   tetragonal
Uncorrected energy   -0.1065 hartree per atom

abc: 4.350 4.831 4.350
angles: 90.00 90.00 90.00
Site moments in Bohr magnetons follow the coordinates.
Fractional coordinates of all 5 atoms:
Cr (0.000, 0.000, 0.000)  3.45
Zn (0.000, 0.500, 0.000)  0.04
Co (0.000, 0.000, 0.500)  0.64
Co (0.500, 0.000, 0.000)  0.81
O (0.500, 0.500, 0.500)  0.67


Number 1: M_tot 0.830 μB per atom. Number 2: M_tot 0.333 μB per atom. Number 3: M_tot 0.900 μB per atom. Number 4: M_tot 0.500 μB per atom. Number 5: M_tot 1.180 μB per atom.